Compound: Li5Pm2Au12
Source: the Alexandria database
Functional: PBE-GGA
Structure: relaxed

Lattice parameters (Å, degrees): 7.1580 7.1580 7.1580 80.98 80.98 80.98
Element x y z (fractional)
Li  0.0000  0.0000  0.5000
Li  0.0000  0.5000  0.0000
Li  0.0909  0.0909  0.0909
Li  0.5000  0.0000  0.0000
Li  0.9091  0.9091  0.9091
Pm  0.3522  0.3522  0.3522
Pm  0.6478  0.6478  0.6478
Au  0.0000  0.3059  0.6941
Au  0.0000  0.6941  0.3059
Au  0.1344  0.6652  0.6652
Au  0.3059  0.0000  0.6941
Au  0.3059  0.6941  0.0000
Au  0.3348  0.3348  0.8656
Au  0.3348  0.8656  0.3348
Au  0.6652  0.1344  0.6652
Au  0.6652  0.6652  0.1344
Au  0.6941  0.0000  0.3059
Au  0.6941  0.3059  0.0000
Au  0.8656  0.3348  0.3348

Crystal system   trigonal
N(E_F)   6.3 states/eV/f.u.
DFT formation energy   -509 meV/atom
Space-group type   R-3m (166)